A plane-wave DFT calculation with GGA-PBE was carried out for a relaxed structure of CaTl2P.

ΔE to the lowest computed polymorph ... 160 meV/atom
N(E_F) ... 0.490 states/eV per atom
Total energy ... -3.250 eV/atom
Formation energy from the elements ... -0.214 eV per atom
Crystal system ... monoclinic

Cell lengths 6.6725, 4.3091, 4.2945 Å; angles 91.32, 70.78, 109.29 degrees
Fractional positions:
P1 0.5000 0.0000 0.5000
Tl1 0.0000 0.5000 0.5000
Tl2 0.0000 0.0000 0.0000
Ca1 0.5000 0.5000 0.0000